# GGA+U CaNiO, relaxed
# - Uncorrected energy: -4.027 eV/atom
data_CaNiO
_chemical_formula_sum 'Ca2 Ni2 O2'
_space_group_name_H-M_alt 'P 4/n m m'
_space_group_IT_number 129
_cell_length_a 4.050
_cell_length_b 4.050
_cell_length_c 5.734
_cell_angle_alpha 90.00
_cell_angle_beta 90.00
_cell_angle_gamma 90.00
loop_
_space_group_symop_operation_xyz
'x,y,z'
'-x,-y,-z'
'-y+1/2,x,z'
'y+1/2,-x,-z'
'-x+1/2,-y+1/2,z'
'x+1/2,y+1/2,-z'
'y,-x+1/2,z'
'-y,x+1/2,-z'
'x+1/2,-y,-z'
'-x+1/2,y,z'
'-y,-x,-z'
'y,x,z'
'-x,y+1/2,-z'
'x,-y+1/2,z'
'y+1/2,x+1/2,-z'
'-y+1/2,-x+1/2,z'
loop_
_atom_site_label
_atom_site_type_symbol
_atom_site_fract_x
_atom_site_fract_y
_atom_site_fract_z
_atom_site_occupancy
Ca1 Ca 0.250 0.250 0.246 1
Ni1 Ni 0.250 0.250 0.678 1
O1 O 0.250 0.750 0.500 1